(1)
DFT (PBE) results for an optimized crystal structure of Dy2PuThP4.

## Properties
- Total energy: -8.067 eV/atom

Cell lengths 4.0552, 7.0031, 6.9966 Å; angles 109.62, 90.00, 90.00 degrees
Fractional positions:
Dy 0.5000 0.0000 0.5000
Dy 0.0000 0.5000 0.5000
Pu 0.0000 0.0000 0.0000
Th 0.5000 0.5000 0.0000
P 0.5000 0.2457 0.2503
P 0.5000 0.7543 0.7497
P 0.0000 0.2453 0.7451
P 0.0000 0.7547 0.2549

(2)
DFT (PBE) results for an optimized crystal structure of YVW2.

## Properties
- Total energy: -9.743 eV/atom

Cell lengths 4.6285, 4.6285, 4.6285 Å; angles 60.00, 60.00, 60.00 degrees
Fractional positions:
Y 0.5000 0.5000 0.5000
W 0.2500 0.2500 0.2500
W 0.7500 0.7500 0.7500
V 0.0000 0.0000 0.0000

(3)
DFT (PBE) results for an optimized crystal structure of La2SiPdAu.

## Properties
- Energy relative to the elements, uncorrected: -12 kJ per mole of atoms
- Total energy: -4.872 eV/atom

Cell lengths 5.4664, 4.9939, 5.4664 Å; angles 90.00, 90.00, 90.00 degrees
Fractional positions:
Si 0.5000 0.5000 0.5000
Au 0.0000 0.5000 0.0000
Pd 0.0000 0.0000 0.0000
La 0.0000 0.0000 0.5000
La 0.5000 0.0000 0.0000

(4)
DFT (PBE) results for an optimized crystal structure of TaHgTe2.

## Properties
- Energy relative to the elements, uncorrected: -9 kJ per mole of atoms
- Total energy: -4.698 eV/atom

Cell lengths 10.3216, 3.3499, 13.7781 Å; angles 90.00, 90.00, 90.00 degrees
Fractional positions:
Te 0.8063 0.2500 0.4321
Te 0.6937 0.7500 0.9321
Te 0.1937 0.7500 0.5679
Te 0.3063 0.2500 0.0679
Te 0.5226 0.2500 0.7054
Te 0.9774 0.7500 0.2054
Te 0.4774 0.7500 0.2946
Te 0.0226 0.2500 0.7946
Hg 0.2349 0.2500 0.3370
Hg 0.2651 0.7500 0.8370
Hg 0.7651 0.7500 0.6630
Hg 0.7349 0.2500 0.1630
Ta 0.9769 0.2500 0.5868
Ta 0.5231 0.7500 0.0868
Ta 0.0231 0.7500 0.4132
Ta 0.4769 0.2500 0.9132

(5)
DFT (PBE) results for an optimized crystal structure of CaTiReTe2.

## Properties
- Energy relative to the elements, uncorrected: 27 kJ per mole of atoms
- Total energy: -5.446 eV/atom

Cell lengths 5.4261, 4.6605, 5.4261 Å; angles 90.00, 90.00, 90.00 degrees
Fractional positions:
Re 0.0000 0.5000 0.0000
Ca 0.5000 0.5000 0.5000
Te 0.0000 0.0000 0.5000
Te 0.5000 0.0000 0.0000
Ti 0.0000 0.0000 0.0000

(6)
DFT (PBE) results for an optimized crystal structure of Ba2TlTc.

## Properties
- Total energy: -3.750 eV/atom

Cell lengths 4.8643, 4.9097, 6.7253 Å; angles 68.59, 90.00, 90.00 degrees
Fractional positions:
Ba 0.0000 0.9861 0.9029
Ba 0.5000 0.2701 0.3346
Tc 0.0000 0.6750 0.5254
Tl 0.5000 0.5687 0.7371

(7)
DFT (PBE) results for an optimized crystal structure of PtSeO2.

## Properties
- Energy relative to the elements, uncorrected: -22 kJ per mole of atoms
- Total energy: -5.091 eV/atom

Cell lengths 4.0504, 5.5374, 6.9310 Å; angles 113.56, 106.99, 90.00 degrees
Fractional positions:
Pt 0.5424 0.9187 0.5709
Pt 0.0425 0.4187 0.5709
Se 0.0424 0.9187 0.0708
Se 0.0425 0.4187 0.0708
O 0.8752 0.7515 0.7364
O 0.2097 0.0859 0.4054
O 0.2099 0.5859 0.4054
O 0.8750 0.2516 0.7364

(8)
DFT (PBE) results for an optimized crystal structure of UIO5F.

## Properties
- Energy relative to the elements, uncorrected: -166 kJ per mole of atoms
- Total energy: -6.656 eV/atom

Cell lengths 5.8736, 5.8736, 8.2371 Å; angles 103.07, 103.07, 91.77 degrees
Fractional positions:
U 0.0000 0.0000 0.5000
U 0.0000 0.0000 0.0000
I 0.6082 0.3918 0.2500
I 0.3918 0.6082 0.7500
O 0.0343 0.9657 0.2500
O 0.9657 0.0343 0.7500
O 0.8227 0.3195 0.1114
O 0.1773 0.6805 0.8886
O 0.6805 0.1773 0.3886
O 0.3195 0.8227 0.6114
O 0.8334 0.6844 0.4291
O 0.1666 0.3156 0.5709
O 0.3156 0.1666 0.0709
O 0.6844 0.8334 0.9291
F 0.3587 0.6413 0.2500
F 0.6413 0.3587 0.7500

(9)
DFT (PBE) results for an optimized crystal structure of CrGaRu2.

## Properties
- Total energy: -7.368 eV/atom

Cell lengths 6.7751, 6.7751, 5.4751 Å; angles 51.78, 51.78, 90.00 degrees
Fractional positions:
Ru 0.5776 0.1250 0.2500
Ru 0.1724 0.6250 0.2500
Ru 0.3750 0.4224 0.7500
Ru 0.8750 0.8276 0.7500
Ga 0.0000 0.0000 0.0000
Ga 0.7500 0.2500 0.5000
Cr 0.5000 0.5000 0.0000
Cr 0.2500 0.7500 0.5000

(10)
DFT (PBE) results for an optimized crystal structure of GdHgPbAu.

## Properties
- Total energy: -5.795 eV/atom

Cell lengths 5.1828, 5.1828, 5.1828 Å; angles 60.00, 60.00, 60.00 degrees
Fractional positions:
Pb 0.0000 0.0000 0.0000
Gd 0.5000 0.5000 0.5000
Au 0.2500 0.2500 0.2500
Hg 0.7500 0.7500 0.7500

(11)
DFT (PBE) results for an optimized crystal structure of Re2PbCl.

## Properties
- Energy relative to the elements, uncorrected: 130 kJ per mole of atoms
- Total energy: -6.262 eV/atom

Cell lengths 3.0607, 3.0607, 9.0820 Å; angles 90.00, 90.00, 121.94 degrees
Fractional positions:
Cl 0.5000 0.5000 0.2500
Pb 0.5000 0.5000 0.7500
Re 0.0000 0.0000 0.0133
Re 0.0000 0.0000 0.4867

(12)
DFT (PBE) results for an optimized crystal structure of Ti5H2Pb2.

## Properties
- Total energy: -6.149 eV/atom

Cell lengths 3.6888, 5.3700, 7.3424 Å; angles 83.98, 90.00, 110.09 degrees
Fractional positions:
Ti 0.2988 0.5977 0.1389
Ti 0.7012 0.4023 0.8611
Ti 0.1451 0.2901 0.5713
Ti 0.8550 0.7099 0.4287
Ti 0.0000 0.0000 0.0000
H 0.1525 0.3051 0.8307
H 0.8475 0.6949 0.1693
Pb 0.4205 0.8410 0.7221
Pb 0.5795 0.1590 0.2779

(13)
DFT (PBE) results for an optimized crystal structure of PaFeBi.

## Properties
- Total energy: -7.509 eV/atom

Cell lengths 4.7753, 4.4042, 6.7958 Å; angles 90.00, 101.49, 90.00 degrees
Fractional positions:
Fe 0.3041 0.2500 0.4283
Fe 0.6959 0.7500 0.5717
Pa 0.8301 0.2500 0.3258
Pa 0.1699 0.7500 0.6742
Bi 0.6993 0.2500 0.8168
Bi 0.3007 0.7500 0.1832

(14)
DFT (PBE) results for an optimized crystal structure of CeNd6Dy12.

## Properties
- Total energy: -4.511 eV/atom

Cell lengths 8.7581, 8.7581, 8.7581 Å; angles 99.01, 99.01, 99.01 degrees
Fractional positions:
Ce 0.0000 0.0000 0.0000
Nd 0.9018 0.3412 0.9018
Nd 0.9018 0.9018 0.3412
Nd 0.3412 0.9018 0.9018
Nd 0.0982 0.0982 0.6588
Nd 0.0982 0.6588 0.0982
Nd 0.6588 0.0982 0.0982
Dy 0.7559 0.2441 0.5000
Dy 0.3532 0.0797 0.3532
Dy 0.3532 0.3532 0.0797
Dy 0.9203 0.6468 0.6468
Dy 0.6468 0.6468 0.9203
Dy 0.6468 0.9203 0.6468
Dy 0.5000 0.7559 0.2441
Dy 0.2441 0.5000 0.7559
Dy 0.2441 0.7559 0.5000
Dy 0.5000 0.2441 0.7559
Dy 0.7559 0.5000 0.2441
Dy 0.0797 0.3532 0.3532

(15)
DFT (PBE) results for an optimized crystal structure of Ba8In3Pd2.

## Properties
- Total energy: -2.925 eV/atom

Cell lengths 6.3258, 9.8962, 10.1623 Å; angles 119.14, 96.82, 90.00 degrees
Fractional positions:
Ba 0.0642 0.6878 0.3756
Ba 0.9358 0.3122 0.6244
Ba 0.0545 0.1031 0.2061
Ba 0.9455 0.8969 0.7939
Ba 0.4600 0.6023 0.7454
Ba 0.4600 0.1431 0.7454
Ba 0.5400 0.8569 0.2546
Ba 0.5400 0.3977 0.2546
In 0.5000 0.0000 0.0000
In 0.0000 0.3378 0.0000
In 0.0000 0.6622 0.0000
Pd 0.4396 0.2392 0.4785
Pd 0.5604 0.7608 0.5215

(16)
DFT (PBE) results for an optimized crystal structure of TbCe2Bi3.

## Properties
- Total energy: -5.509 eV/atom

Cell lengths 4.5674, 6.4604, 7.9082 Å; angles 114.11, 106.78, 90.00 degrees
Fractional positions:
Tb 0.5000 0.5000 0.5000
Ce 0.8324 0.8324 0.1648
Ce 0.1676 0.1676 0.8352
Bi 0.8362 0.3362 0.1724
Bi 0.1638 0.6638 0.8276
Bi 0.5000 0.0000 0.5000

(17)
DFT (PBE) results for an optimized crystal structure of CeDy2PuSe4.

## Properties
- Energy relative to the elements, uncorrected: -167 kJ per mole of atoms
- Total energy: -7.162 eV/atom

Cell lengths 4.0964, 7.1041, 7.2241 Å; angles 109.09, 90.00, 90.00 degrees
Fractional positions:
Ce 0.0000 0.0000 0.0000
Dy 0.5000 0.0000 0.5000
Dy 0.0000 0.5000 0.5000
Pu 0.5000 0.5000 0.0000
Se 0.5000 0.2556 0.2600
Se 0.5000 0.7444 0.7400
Se 0.0000 0.2496 0.7421
Se 0.0000 0.7504 0.2579

(18)
DFT (PBE) results for an optimized crystal structure of PmErPuN3.

## Properties
- Energy relative to the elements, uncorrected: -118 kJ per mole of atoms
- Total energy: -9.329 eV/atom

Cell lengths 3.5307, 7.0184, 10.1088 Å; angles 116.39, 90.00, 90.00 degrees
Fractional positions:
Pm 0.7500 0.7807 0.8710
Pm 0.2500 0.2193 0.1290
Er 0.2500 0.7004 0.1381
Er 0.7500 0.2996 0.8619
Pu 0.2500 0.8753 0.5883
Pu 0.7500 0.1247 0.4117
N 0.2500 0.9285 0.3876
N 0.7500 0.9566 0.1421
N 0.7500 0.4479 0.1176
N 0.7500 0.0715 0.6124
N 0.2500 0.5521 0.8824
N 0.2500 0.0434 0.8579

(19)
DFT (PBE) results for an optimized crystal structure of ScAlCO.

## Properties
- Energy relative to the elements, uncorrected: -165 kJ per mole of atoms
- Total energy: -7.775 eV/atom

Cell lengths 3.2612, 3.2612, 10.2474 Å; angles 90.00, 90.00, 120.00 degrees
Fractional positions:
Sc 0.6667 0.3333 0.8044
Sc 0.3333 0.6667 0.3044
Al 0.0000 0.0000 0.5202
Al 0.0000 0.0000 0.0202
C 0.3333 0.6667 0.9416
C 0.6667 0.3333 0.4416
O 0.0000 0.0000 0.6971
O 0.0000 0.0000 0.1971

(20)
DFT (PBE) results for an optimized crystal structure of LiZn2Ag.

## Properties
- Total energy: -1.904 eV/atom

Cell lengths 2.7626, 2.7626, 8.5941 Å; angles 90.00, 90.00, 105.36 degrees
Fractional positions:
Ag 0.5000 0.5000 0.2500
Li 0.5000 0.5000 0.7500
Zn 0.0000 0.0000 0.9921
Zn 0.0000 0.0000 0.5079

(21)
DFT (PBE) results for an optimized crystal structure of LiMn2Co.

## Properties
- Total energy: -6.565 eV/atom

Cell lengths 8.7775, 8.7775, 8.7775 Å; angles 16.17, 16.17, 16.17 degrees
Fractional positions:
Co 0.2500 0.2500 0.2500
Li 0.7500 0.7500 0.7500
Mn 0.9941 0.9941 0.9941
Mn 0.5059 0.5059 0.5059

(22)
DFT (PBE) results for an optimized crystal structure of CaNi2Pb2.

## Properties
- Total energy: -4.233 eV/atom

Cell lengths 4.7108, 4.7108, 6.0022 Å; angles 66.89, 66.89, 90.00 degrees
Fractional positions:
Pb 0.7500 0.2500 0.5000
Pb 0.2500 0.7500 0.5000
Ni 0.3830 0.3830 0.2341
Ni 0.6170 0.6170 0.7659
Ca 0.0000 0.0000 0.0000

(23)
DFT (PBE) results for an optimized crystal structure of Rb4S2F.

## Properties
- Energy relative to the elements, uncorrected: -126 kJ per mole of atoms
- Total energy: -3.306 eV/atom

Cell lengths 5.4154, 5.4154, 9.0720 Å; angles 107.37, 107.37, 90.00 degrees
Fractional positions:
S 0.6279 0.6279 0.2559
S 0.3721 0.3721 0.7441
Rb 0.8257 0.8257 0.6515
Rb 0.1743 0.1743 0.3485
Rb 0.0000 0.5000 0.0000
Rb 0.5000 0.0000 0.0000
F 0.0000 0.0000 0.0000

(24)
DFT (PBE) results for an optimized crystal structure of Na2SiSbSe4.

## Properties
- Energy relative to the elements, uncorrected: -57 kJ per mole of atoms
- Total energy: -3.857 eV/atom

Cell lengths 6.6014, 6.6014, 6.6014 Å; angles 112.40, 108.03, 108.03 degrees
Fractional positions:
Na 0.5000 0.7500 0.2500
Na 0.0000 0.0000 0.0000
Si 0.0000 0.5000 0.5000
Sb 0.5000 0.2500 0.7500
Se 0.6574 0.5080 0.5135
Se 0.0055 0.1494 0.4920
Se 0.9945 0.4865 0.1438
Se 0.3426 0.8562 0.8506